[1]
Zr8HgBi2 PBE relaxed; space group = C2/m, No. 12; calculated formation energy = -0.0031 eV per atom
1.0
5.489 -0.278 -0.417
-1.319 7.740 -0.757
-1.319 -3.680 6.851
Zr Bi Hg
8 2 1
Direct
0.299 0.590 0.590
0.500 0.222 0.778
0.841 0.905 0.688
0.159 0.312 0.095
0.500 0.778 0.222
0.159 0.095 0.312
0.701 0.410 0.410
0.841 0.688 0.905
0.000 0.304 0.696
0.000 0.696 0.304
0.500 0.000 0.000


[2]
Zr6HgBi PBE relaxed; space group = R-3, No. 148; calculated formation energy = -0.1853 eV per atom; energy relative to the lowest polymorph listed for this composition = 0 meV per atom
1.0
-6.431 -3.453 3.285
-5.965 -2.628 -4.661
-2.674 -4.944 -0.680
Zr Bi Hg
6 1 1
Direct
0.745 0.000 0.755
0.000 0.501 0.754
0.500 0.745 0.753
0.500 0.255 0.247
0.000 0.499 0.246
0.255 0.000 0.245
0.000 0.000 0.000
0.500 0.500 0.500


[3]
Zr2HgBi PBE relaxed; space group = R3m, No. 160; calculated formation energy = 0.0452 eV per atom; energy relative to the lowest polymorph listed for this composition = 235 meV per atom
1.0
3.851 0.000 0.000
1.926 3.335 0.000
1.926 1.112 7.979
Zr Hg Bi
2 1 1
Direct
0.250 0.250 0.250
0.084 0.084 0.749
0.498 0.498 0.505
0.668 0.668 0.997


[4]
Zr2Hg2Bi PBE relaxed; space group = I4/mmm, No. 139; calculated formation energy = 0.1959 eV per atom; energy relative to the lowest polymorph listed for this composition = 269 meV per atom
1.0
-2.414 3.020 -1.792
-0.354 -2.373 -3.522
-7.203 -2.751 -0.001
Zr Hg Bi
2 2 1
Direct
0.250 0.750 0.500
0.750 0.250 0.500
0.401 0.401 0.199
0.599 0.599 0.801
0.000 0.000 0.000


Q: calculated formation energy of number 1 (Zr8HgBi2)?
A: -0.0031 eV per atom